No. 1
Compound: Pm2TmSb2O2
Source: Alexandria
Functional: PBE
Structure: optimized geometry

Cell lengths 8.7500, 8.7500, 8.7500 Å; angles 151.44, 151.44, 40.84 degrees
Fractional coordinates of all 7 atoms:
Pm 0.1130 0.1130 0.0000
Pm 0.8870 0.8870 0.0000
Tm 0.5000 0.5000 0.0000
Sb 0.3114 0.3114 0.0000
Sb 0.6886 0.6886 0.0000
O 0.0000 0.5000 0.5000
O 0.5000 0.0000 0.5000

Summary:
The density comes out at 7980 kg/m³. As for the formation energy from raw total energies: -13.956 eV per formula unit.

---

No. 2
Compound: PmTmSb2O8
Source: Alexandria
Functional: PBE
Structure: optimized geometry

Cell lengths 6.2141, 6.2141, 6.2141 Å; angles 107.49, 107.49, 113.51 degrees
Fractional coordinates of all 12 atoms:
Pm 0.0000 0.0000 0.0000
Tm 0.7500 0.2500 0.5000
Sb 0.2500 0.7500 0.5000
Sb 0.5000 0.5000 0.0000
O 0.0538 0.3706 0.3168
O 0.0538 0.7369 0.6832
O 0.1201 0.3115 0.8086
O 0.2631 0.9462 0.3168
O 0.5028 0.3115 0.1914
O 0.6294 0.9462 0.6832
O 0.6885 0.4972 0.8086
O 0.6885 0.8799 0.1914

Summary:
The density comes out at 6185 kg/m³. As for the formation energy from raw total energies: -26.773 eV per formula unit.

---

No. 3
Compound: PmTmSbO6
Source: Alexandria
Functional: PBE
Structure: optimized geometry

Cell lengths 5.6180, 5.6180, 9.7136 Å; angles 90.00, 90.00, 120.00 degrees
Fractional coordinates of all 18 atoms:
Pm 0.0000 0.0000 0.0000
Pm 0.0000 0.0000 0.5000
Tm 0.3333 0.6667 0.2500
Tm 0.6667 0.3333 0.7500
Sb 0.3333 0.6667 0.7500
Sb 0.6667 0.3333 0.2500
O 0.0310 0.3679 0.6371
O 0.0310 0.6631 0.8629
O 0.3369 0.3679 0.8629
O 0.3369 0.9690 0.6371
O 0.3679 0.0310 0.1371
O 0.3679 0.3369 0.3629
O 0.6321 0.6631 0.6371
O 0.6321 0.9690 0.8629
O 0.6631 0.0310 0.3629
O 0.6631 0.6321 0.1371
O 0.9690 0.3369 0.1371
O 0.9690 0.6321 0.3629

Summary:
The density comes out at 6651 kg/m³. As for the formation energy from raw total energies: -21.886 eV per formula unit.

---

Look up the formation energy from raw total energies of the third one. -21.886 eV per formula unit

---

Look up the formation energy from raw total energies of the second one. -26.773 eV per formula unit